[1]
Density functional theory data (PBE-GGA) for a geometry-optimized BeFe2 structure.

## Properties
calculated density: 6.71 g/cm³
magnetic moment: 8.18 Bohr magnetons per cell
calculated total energy: -7.001 eV/atom

Geometry as extended XYZ:
```
6
Lattice="-2.626 2.626 2.166 2.626 -2.626 2.166 2.626 2.626 -2.166" Properties=species:S:1:pos:R:3 pbc="T T T"
Be 0.000 0.000 1.083
Be 0.000 0.000 3.249
Fe 1.786 0.839 2.166
Fe 0.839 1.786 0.000
Fe -0.839 1.786 2.166
Fe 3.465 0.839 0.000
```

***

[2]
Density functional theory data (PBE-GGA) for a geometry-optimized Be2Fe structure.

## Properties
polymorph energy (0 for the lowest one): 205.8 meV/atom
calculated density: 4.75 g/cm³
magnetic moment: 0.63 Bohr magnetons per cell

Geometry as extended XYZ:
```
6
Lattice="-2.744 -3.214 0.464 -0.777 -4.067 -0.962 1.617 -2.964 4.005" Properties=species:S:1:pos:R:3 pbc="T T T"
Be -0.514 -5.780 2.751
Be 0.124 -2.476 1.653
Be -2.028 -7.770 1.854
Be -1.390 -4.466 0.756
Fe -2.772 -6.353 -0.020
Fe 0.868 -3.893 3.527
```

***

[3]
Density functional theory data (PBE-GGA) for a geometry-optimized BeFe2 structure.

## Properties
calculated density: 6.85 g/cm³
magnetic moment: 3.37 Bohr magnetons per cell
calculated total energy: -6.915 eV/atom

Geometry as extended XYZ:
```
6
Lattice="1.226 -6.154 0.000 1.226 6.154 0.000 0.000 0.000 3.875" Properties=species:S:1:pos:R:3 pbc="T T T"
Be 1.226 -1.374 2.907
Be 1.226 1.374 0.969
Fe 1.226 -5.456 2.907
Fe 1.226 2.747 2.907
Fe 1.226 -2.747 0.969
Fe 1.226 5.456 0.969
```

***

[4]
Density functional theory data (PBE-GGA) for a geometry-optimized Be4Fe5 structure.

## Properties
calculated density: 6.13 g/cm³
magnetic moment: 17.38 Bohr magnetons per cell
calculated total energy: -6.478 eV/atom

Geometry as extended XYZ:
```
18
Lattice="-1.099 4.778 4.368 -2.180 -6.083 1.169 3.937 -1.009 2.094" Properties=species:S:1:pos:R:3 pbc="T T T"
Be 0.000 0.000 0.000
Be 1.968 -0.504 1.047
Be 0.157 -2.561 0.967
Be -1.050 -1.062 3.959
Be 0.567 1.562 2.182
Be 1.600 -4.530 2.296
Be 1.708 -1.252 3.673
Be 2.271 2.208 4.281
Fe -0.580 -4.615 1.362
Fe 0.057 -0.621 2.089
Fe 0.196 3.175 3.657
Fe 2.336 -2.476 1.901
Fe 0.600 -1.693 5.542
Fe 2.642 0.594 2.805
Fe -1.460 1.158 3.302
Fe 0.149 -2.967 3.282
Fe -1.820 -2.463 2.235
Fe 0.509 0.653 4.349
```

***

[5]
Density functional theory data (PBE-GGA) for a geometry-optimized Be2Fe structure.

## Properties
polymorph energy (0 for the lowest one): 0.0 meV/atom
calculated density: 4.80 g/cm³
magnetic moment: 6.97 Bohr magnetons per cell

Geometry as extended XYZ:
```
12
Lattice="4.169 0.000 0.000 -2.084 3.610 0.000 0.000 0.000 6.787" Properties=species:S:1:pos:R:3 pbc="T T T"
Be 0.000 0.000 0.000
Be 0.000 0.000 3.393
Be 2.084 2.380 1.697
Be 1.065 0.615 1.697
Be 3.103 0.615 1.697
Be 0.000 1.230 5.090
Be 1.019 2.995 5.090
Be -1.019 2.995 5.090
Fe 0.000 2.407 0.419
Fe 2.084 1.203 3.813
Fe 2.084 1.203 6.368
Fe 0.000 2.407 2.974
```

***

[6]
Density functional theory data (PBE-GGA) for a geometry-optimized Be2Fe structure.

## Properties
polymorph energy (0 for the lowest one): 164.5 meV/atom
calculated density: 4.69 g/cm³
magnetic moment: 1.49 Bohr magnetons per cell

Geometry as extended XYZ:
```
3
Lattice="4.390 0.100 0.000 2.829 3.359 0.000 -3.609 -1.730 1.807" Properties=species:S:1:pos:R:3 pbc="T T T"
Be 4.872 2.335 0.000
Be 2.347 1.125 0.000
Fe 0.000 0.000 0.000
```

***

[7]
Density functional theory data (PBE-GGA) for a geometry-optimized BeFe3 structure.

## Properties
calculated density: 7.24 g/cm³
magnetic moment: 3.69 Bohr magnetons per cell
calculated total energy: -7.209 eV/atom

Geometry as extended XYZ:
```
4
Lattice="-1.367 0.925 -7.744 -2.547 -1.195 -7.401 -3.684 0.928 -6.947" Properties=species:S:1:pos:R:3 pbc="T T T"
Be 0.000 0.000 0.000
Fe -5.679 0.492 -16.513
Fe -3.799 0.329 -11.046
Fe -1.919 0.166 -5.580
```

***

[8]
Density functional theory data (PBE-GGA) for a geometry-optimized BeFe3 structure.

## Properties
calculated density: 7.04 g/cm³
magnetic moment: 11.03 Bohr magnetons per cell
calculated total energy: -7.278 eV/atom

Geometry as extended XYZ:
```
8
Lattice="-0.054 3.806 2.140 -3.777 1.033 -1.933 -2.190 -1.875 3.279" Properties=species:S:1:pos:R:3 pbc="T T T"
Be 0.000 0.000 0.000
Be -3.011 1.482 1.743
Fe -1.929 3.371 0.639
Fe -1.902 1.468 -0.431
Fe -3.928 -0.163 0.190
Fe -2.039 -0.679 1.156
Fe -0.575 1.434 1.890
Fe -1.670 0.497 3.529
```

***

[9]
Density functional theory data (PBE-GGA) for a geometry-optimized Be2Fe3 structure.

## Properties
polymorph energy (0 for the lowest one): 0.0 meV/atom
calculated density: 6.23 g/cm³
magnetic moment: 10.15 Bohr magnetons per cell

Geometry as extended XYZ:
```
10
Lattice="-3.484 0.176 2.466 -0.113 -3.993 1.514 5.742 4.327 1.384" Properties=species:S:1:pos:R:3 pbc="T T T"
Be -0.584 -2.332 1.964
Be 3.379 3.244 2.748
Be 0.745 0.787 1.989
Be 0.107 2.528 3.272
Fe -1.084 -0.537 3.115
Fe 3.356 0.630 2.217
Fe -1.966 -2.635 3.699
Fe 1.940 1.436 3.763
Fe -0.260 -0.624 0.537
Fe 1.379 -1.070 3.058
```

***

[10]
Density functional theory data (PBE-GGA) for a geometry-optimized BeFe2 structure.

## Properties
calculated density: 6.32 g/cm³
magnetic moment: 8.82 Bohr magnetons per cell
calculated total energy: -6.816 eV/atom

Geometry as extended XYZ:
```
6
Lattice="9.203 3.775 4.484 7.792 6.760 3.555 -9.282 -5.165 -2.498" Properties=species:S:1:pos:R:3 pbc="T T T"
Be 0.000 0.000 0.000
Be 4.210 1.939 3.003
Fe 9.763 6.052 4.618
Fe 2.239 2.648 1.940
Fe 7.233 4.483 3.421
Fe 4.769 4.216 3.137
```

***

[11]
Density functional theory data (PBE-GGA) for a geometry-optimized BeFe3 structure.

## Properties
calculated density: 6.94 g/cm³
magnetic moment: 6.73 Bohr magnetons per cell
calculated total energy: -7.325 eV/atom

Geometry as extended XYZ:
```
4
Lattice="2.829 0.000 0.000 0.000 2.829 0.000 0.000 0.000 5.280" Properties=species:S:1:pos:R:3 pbc="T T T"
Be 0.000 0.000 0.000
Fe 1.415 1.415 1.217
Fe 0.000 0.000 2.640
Fe 1.415 1.415 4.063
```

***

[12]
Density functional theory data (PBE-GGA) for a geometry-optimized Be2Fe structure.

## Properties
polymorph energy (0 for the lowest one): 530.4 meV/atom
calculated density: 3.77 g/cm³
magnetic moment: 0.00 Bohr magnetons per cell

Geometry as extended XYZ:
```
6
Lattice="4.029 -1.299 1.211 -2.767 0.944 3.292 -1.786 -3.365 -2.207" Properties=species:S:1:pos:R:3 pbc="T T T"
Be -0.672 -1.740 0.051
Be 0.148 -1.980 2.245
Be 0.576 -4.004 -0.477
Be -1.100 0.284 2.773
Fe 0.946 -0.266 3.377
Fe 0.315 -0.089 1.126
```